First-principles (PBE+U) data for a relaxed structure of CsCo2BrF, as listed in the Alexandria database.

POSCAR file:
```
CsCo2BrF
1.0
4.415 0.000 0.000
0.000 4.415 0.000
0.000 0.000 8.543
Cs Co Br F
1 2 1 1
Cartesian
0.000 0.000 0.000
0.000 2.207 4.272
2.207 0.000 4.272
0.000 0.000 4.272
2.207 2.207 0.000
```

Calculated values
Density of states at the Fermi level = 0.03 states/eV/cell
Energy = -3.09 eV/atom
M_tot = 0.60 μB per atom